! Li6ScFe5Si12O36, relaxed, DFT PBE with a Hubbard U; values from VASP
&SYSTEM
  ibrav = 0, nat = 60, ntyp = 5
/
ATOMIC_SPECIES
Li 6.94 Li.upf
Sc 44.96 Sc.upf
Fe 55.84 Fe.upf
Si 28.09 Si.upf
O 16.00 O.upf
CELL_PARAMETERS angstrom
6.615 0.000 0.002
2.125 9.308 0.008
2.094 2.009 10.653
ATOMIC_POSITIONS angstrom
Li 2.552 1.431 3.554
Li 3.967 5.168 7.100
Li 7.550 4.376 10.644
Li 3.263 6.978 0.053
Li 6.885 6.109 3.544
Li 8.252 9.919 7.074
Sc 3.769 7.922 8.359
Fe 0.942 0.382 1.258
Fe 2.372 4.146 4.800
Fe 7.068 3.406 2.306
Fe 8.461 7.160 5.833
Fe 9.864 10.963 9.419
Si 2.667 1.256 6.555
Si 4.416 2.122 8.980
Si 4.077 4.981 10.125
Si 3.729 3.920 1.864
Si 5.707 3.627 5.243
Si 3.371 6.790 2.999
Si 7.449 4.542 7.651
Si 5.132 7.672 5.388
Si 7.127 7.413 8.802
Si 6.775 6.313 0.581
Si 6.401 9.178 1.702
Si 8.170 10.069 4.103
O 2.157 2.337 5.466
O 3.926 1.850 7.431
O 0.847 2.425 0.547
O 2.846 0.619 1.579
O 4.626 3.731 9.214
O 2.553 3.392 2.904
O 3.535 6.059 9.056
O 5.538 2.003 5.049
O 2.263 6.196 4.077
O 4.278 4.374 5.110
O 5.451 0.402 0.653
O 6.189 3.933 6.787
O 3.243 3.594 0.327
O 3.961 7.115 6.410
O 7.977 3.458 8.730
O 5.164 3.182 1.997
O 7.167 1.345 3.026
O 6.914 5.802 8.560
O 3.891 5.547 2.051
O 3.643 10.038 7.628
O 5.716 8.186 8.727
O 2.814 7.891 1.953
O 6.888 4.150 4.207
O 7.668 7.657 10.335
O 4.634 7.413 3.844
O 5.350 10.929 10.025
O 6.564 6.922 5.486
O 8.578 5.102 6.572
O 5.313 9.283 5.668
O 7.310 5.223 1.652
O 8.257 7.935 7.716
O 6.206 7.560 1.489
O 7.965 10.671 9.103
O 9.994 8.923 10.186
O 6.896 9.486 3.243
O 8.711 8.961 5.150
! - N(E_F): 0.000 states/eV/atom
! - Electronic total energy: -7.31 eV per atom
! - Crystal system: triclinic
! - Space group: P1 (1)